# 1
# Nd2Y6Ho3Tm PBE-GGA optimized geometry
data_Nd2Y6Ho3Tm
_cell_length_a 6.182
_cell_length_b 6.182
_cell_length_c 11.831
_cell_angle_alpha 94.98
_cell_angle_beta 94.98
_cell_angle_gamma 119.96
_space_group_name_H-M_alt 'P 1'
_space_group_IT_number 1
_space_group_name_Hall 'P 1'
loop_
_atom_site_label
_atom_site_type_symbol
_atom_site_fract_x
_atom_site_fract_y
_atom_site_fract_z
_atom_site_occupancy
Y1 Y 0.916 0.583 0.748 1
Y2 Y 0.417 0.084 0.252 1
Y3 Y 0.084 0.417 0.252 1
Y4 Y 0.583 0.916 0.748 1
Y5 Y 0.248 0.248 0.747 1
Y6 Y 0.752 0.752 0.253 1
Ho1 Ho 0.500 0.500 0.500 1
Ho2 Ho 0.166 0.834 0.500 1
Ho3 Ho 0.834 0.166 0.500 1
Nd1 Nd 0.667 0.333 0.000 1
Nd2 Nd 0.333 0.667 0.000 1
Tm1 Tm 0.000 0.000 0.000 1
# space group = C2/m
# V = 32.15 A^3/atom
# ΔH_f (0 K) = 0.02 eV/atom
# total moment = 0.000 μB per formula unit



# 2
# Nd5YHoTm2 PBE-GGA optimized geometry
data_Nd5YHoTm2
_cell_length_a 5.636
_cell_length_b 10.612
_cell_length_c 10.680
_cell_angle_alpha 90.00
_cell_angle_beta 90.00
_cell_angle_gamma 105.40
_space_group_name_H-M_alt 'P 1'
_space_group_IT_number 1
_space_group_name_Hall 'P 1'
loop_
_atom_site_label
_atom_site_type_symbol
_atom_site_fract_x
_atom_site_fract_y
_atom_site_fract_z
_atom_site_occupancy
Nd1 Nd 0.297 0.595 0.709 1
Nd2 Nd 0.721 0.443 0.814 1
Nd3 Nd 0.703 0.405 0.209 1
Nd4 Nd 0.516 0.032 0.244 1
Nd5 Nd 0.384 0.768 0.021 1
Nd6 Nd 0.484 0.968 0.744 1
Nd7 Nd 0.985 0.970 0.516 1
Nd8 Nd 0.015 0.030 0.016 1
Nd9 Nd 0.616 0.232 0.521 1
Nd10 Nd 0.279 0.557 0.314 1
Tm1 Tm 0.887 0.774 0.240 1
Tm2 Tm 0.113 0.226 0.740 1
Tm3 Tm 0.886 0.773 0.806 1
Tm4 Tm 0.114 0.227 0.306 1
Ho1 Ho 0.199 0.398 0.012 1
Ho2 Ho 0.801 0.602 0.512 1
Y1 Y 0.407 0.814 0.463 1
Y2 Y 0.593 0.186 0.963 1
# space group = Cmc2_1
# V = 34.22 A^3/atom
# ΔH_f (0 K) = 0.15 eV/atom
# total moment = 0.000 μB per formula unit



# 3
# NdY2HoTm5 PBE-GGA optimized geometry
data_NdY2HoTm5
_cell_length_a 5.575
_cell_length_b 10.181
_cell_length_c 10.541
_cell_angle_alpha 90.00
_cell_angle_beta 90.00
_cell_angle_gamma 105.89
_space_group_name_H-M_alt 'P 1'
_space_group_IT_number 1
_space_group_name_Hall 'P 1'
loop_
_atom_site_label
_atom_site_type_symbol
_atom_site_fract_x
_atom_site_fract_y
_atom_site_fract_z
_atom_site_occupancy
Tm1 Tm 0.298 0.597 0.710 1
Tm2 Tm 0.389 0.778 0.021 1
Tm3 Tm 0.702 0.403 0.210 1
Tm4 Tm 0.611 0.222 0.521 1
Tm5 Tm 0.479 0.958 0.736 1
Tm6 Tm 0.521 0.042 0.236 1
Tm7 Tm 0.981 0.962 0.526 1
Tm8 Tm 0.019 0.038 0.026 1
Tm9 Tm 0.283 0.565 0.311 1
Tm10 Tm 0.717 0.435 0.811 1
Nd1 Nd 0.417 0.834 0.455 1
Nd2 Nd 0.583 0.166 0.955 1
Ho1 Ho 0.798 0.597 0.512 1
Ho2 Ho 0.202 0.403 0.012 1
Y1 Y 0.887 0.774 0.819 1
Y2 Y 0.113 0.226 0.319 1
Y3 Y 0.110 0.221 0.734 1
Y4 Y 0.890 0.779 0.234 1
# space group = Cmc2_1
# V = 31.97 A^3/atom
# ΔH_f (0 K) = 0.16 eV/atom
# total moment = 0.001 μB per formula unit



# 4
# Nd6YHo3Tm2 PBE-GGA optimized geometry
data_Nd6YHo3Tm2
_cell_length_a 6.258
_cell_length_b 6.258
_cell_length_c 11.804
_cell_angle_alpha 95.06
_cell_angle_beta 95.06
_cell_angle_gamma 119.99
_space_group_name_H-M_alt 'P 1'
_space_group_IT_number 1
_space_group_name_Hall 'P 1'
loop_
_atom_site_label
_atom_site_type_symbol
_atom_site_fract_x
_atom_site_fract_y
_atom_site_fract_z
_atom_site_occupancy
Tm1 Tm 0.333 0.667 0.000 1
Tm2 Tm 0.667 0.333 0.000 1
Ho1 Ho 0.500 0.500 0.500 1
Ho2 Ho 0.167 0.833 0.500 1
Ho3 Ho 0.833 0.167 0.500 1
Nd1 Nd 0.916 0.582 0.750 1
Nd2 Nd 0.084 0.418 0.250 1
Nd3 Nd 0.749 0.749 0.250 1
Nd4 Nd 0.582 0.916 0.750 1
Nd5 Nd 0.251 0.251 0.750 1
Nd6 Nd 0.418 0.084 0.250 1
Y1 Y 0.000 0.000 0.000 1
# space group = C2/m
# V = 32.85 A^3/atom
# ΔH_f (0 K) = 0.01 eV/atom
# total moment = 0.000 μB per formula unit



# 5
# NdY3Ho6Tm2 PBE-GGA optimized geometry
data_NdY3Ho6Tm2
_cell_length_a 6.131
_cell_length_b 6.131
_cell_length_c 11.750
_cell_angle_alpha 94.97
_cell_angle_beta 94.97
_cell_angle_gamma 119.95
_space_group_name_H-M_alt 'P 1'
_space_group_IT_number 1
_space_group_name_Hall 'P 1'
loop_
_atom_site_label
_atom_site_type_symbol
_atom_site_fract_x
_atom_site_fract_y
_atom_site_fract_z
_atom_site_occupancy
Ho1 Ho 0.583 0.917 0.751 1
Ho2 Ho 0.417 0.083 0.249 1
Ho3 Ho 0.749 0.749 0.249 1
Ho4 Ho 0.083 0.417 0.249 1
Ho5 Ho 0.251 0.251 0.751 1
Ho6 Ho 0.917 0.583 0.751 1
Y1 Y 0.833 0.167 0.500 1
Y2 Y 0.167 0.833 0.500 1
Y3 Y 0.500 0.500 0.500 1
Tm1 Tm 0.333 0.667 0.000 1
Tm2 Tm 0.667 0.333 0.000 1
Nd1 Nd 0.000 0.000 0.000 1
# space group = C2/m
# V = 31.41 A^3/atom
# ΔH_f (0 K) = 0.02 eV/atom
# total moment = 0.000 μB per formula unit



# 6
# Nd2Y6HoTm PBE-GGA optimized geometry
data_Nd2Y6HoTm
_cell_length_a 9.764
_cell_length_b 8.782
_cell_length_c 8.782
_cell_angle_alpha 117.78
_cell_angle_beta 94.98
_cell_angle_gamma 94.98
_space_group_name_H-M_alt 'P 1'
_space_group_IT_number 1
_space_group_name_Hall 'P 1'
loop_
_atom_site_label
_atom_site_type_symbol
_atom_site_fract_x
_atom_site_fract_y
_atom_site_fract_z
_atom_site_occupancy
Tm1 Tm 0.250 0.406 0.594 1
Tm2 Tm 0.750 0.594 0.406 1
Nd1 Nd 0.545 0.194 0.295 1
Nd2 Nd 0.955 0.705 0.806 1
Nd3 Nd 0.455 0.806 0.705 1
Nd4 Nd 0.045 0.295 0.194 1
Y1 Y 0.057 0.124 0.747 1
Y2 Y 0.813 0.424 0.982 1
Y3 Y 0.382 0.503 0.294 1
Y4 Y 0.618 0.497 0.706 1
Y5 Y 0.557 0.747 0.124 1
Y6 Y 0.687 0.018 0.576 1
Y7 Y 0.943 0.876 0.253 1
Y8 Y 0.882 0.294 0.503 1
Y9 Y 0.313 0.982 0.424 1
Y10 Y 0.443 0.253 0.876 1
Y11 Y 0.187 0.576 0.018 1
Y12 Y 0.118 0.706 0.497 1
Ho1 Ho 0.250 0.982 0.018 1
Ho2 Ho 0.750 0.018 0.982 1
# space group = C2/c
# V = 32.84 A^3/atom
# ΔH_f (0 K) = 0.11 eV/atom
# total moment = 0.000 μB per formula unit